VASP calculation (PBE with a Hubbard U) on a geometry-optimized Cs3RbFe2F8 structure. Values from VASP.

Cell and atoms, written as Quantum ESPRESSO input:
```
&SYSTEM
  ibrav = 0, nat = 14, ntyp = 4
/
ATOMIC_SPECIES
Fe 55.84 Fe.upf
F 19.00 F.upf
Cs 132.91 Cs.upf
Rb 85.47 Rb.upf
ATOMIC_POSITIONS angstrom
Fe 0.000 3.860 1.692
Fe 3.343 1.930 6.906
F 0.000 3.860 8.354
F 3.343 3.724 6.061
F 4.897 1.033 6.061
F 0.000 2.066 2.538
F 1.789 1.033 6.061
F 1.554 4.757 2.538
F 3.343 1.930 0.245
F -1.554 4.757 2.538
Cs 0.000 3.860 5.602
Cs 3.343 1.930 2.996
Cs 0.000 0.000 0.000
Rb 0.000 0.000 4.299
CELL_PARAMETERS angstrom
6.686 0.000 0.000
-3.343 5.790 0.000
0.000 0.000 8.598
```

Values from the calculation:
DFT total energy: -63.8 eV/f.u.
Total moment: 8.000 μB/f.u.
DOS at the Fermi energy: 13.7 states/eV/cell